Here is crystalline Nd8Ho2Tl at its relaxed geometry from the Alexandria database. Energies are from PBE.

Output
energy of formation from the pure elements = -0.0429 eV/atom
density of states at the Fermi level = 15.0 states/eV/f.u.
magnetic moment = 0.00 μB/f.u.

Lattice parameters (Å, degrees): 18.4183 5.0659 8.1203 90.00 105.67 90.00
With the nearest neighbours (Å) after each atom.
Space group C2/m (No. 12)
Unique sites:
Nd  0.0450  0.0000  0.2265 x4  9 Nd 3.57-3.67, 1 Ho 3.59, 2 Tl 3.61
Nd  0.0910  0.5000  0.9437 x4  1 Tl 3.54, 8 Nd 3.56-3.70, 3 Ho 3.58-3.62
Nd  0.1372  0.0000  0.6805 x4  7 Nd 3.56-3.64, 3 Ho 3.59-3.62, 2 Tl 3.60
Nd  0.1793  0.5000  0.4085 x4  8 Nd 3.57-3.69, 1 Tl 3.57, 3 Ho 3.62-3.66
Ho  0.2246  0.0000  0.1331 x4  10 Nd 3.58-3.66, 2 Ho 3.61
Tl  0.0000  0.5000  0.5000 x2  12 Nd 3.54-3.61